Entry from Alexandria: a relaxed structure of Pa2CoPdO8 (PBE with a Hubbard U).

Unit cell a=5.248 b=5.248 c=6.613 alpha=113.38 beta=113.38 gamma=90.00
Fractional positions:
Pd 0.000 0.000 0.000
O 0.290 0.808 0.193
O 0.090 0.530 0.686
O 0.192 0.097 0.807
O 0.596 0.156 0.686
O 0.903 0.385 0.193
O 0.615 0.710 0.807
O 0.470 0.404 0.314
O 0.844 0.910 0.314
Pa 0.500 0.500 0.000
Pa 0.250 0.750 0.500
Co 0.750 0.250 0.500

## Properties
The raw total energy comes out at -94.7 eV per cell. The space-group type is I-4 (82). The value obtained for the density of states at the Fermi level is 2.65 states/eV per cell.